# HoMgSe3 (PBE-GGA, relaxed)
# Magnetization (Bohr magnetons per cell): 0.000
# Raw formation energy (meV per atom): -1239
data_HoMgSe3
_chemical_formula_sum 'Ho6 Mg6 Se18'
_symmetry_space_group_name_H-M 'R -3'
_symmetry_Int_Tables_number 148
_symmetry_space_group_name_Hall '-R 3'
_cell_length_a 7.0539
_cell_length_b 7.0539
_cell_length_c 18.4494
_cell_angle_alpha 90.00
_cell_angle_beta 90.00
_cell_angle_gamma 120.00
loop_
_atom_site_label
_atom_site_type_symbol
_atom_site_fract_x
_atom_site_fract_y
_atom_site_fract_z
_atom_site_occupancy
Ho1 Ho 0.0000 0.0000 0.1543 1
Mg1 Mg 0.0000 0.0000 0.3469 1
Se1 Se 0.0089 0.6918 0.2524 1

---

# HoMgSe3 (PBE-GGA, relaxed)
# Magnetization (Bohr magnetons per cell): 0.000
# Raw formation energy (meV per atom): -1155
data_HoMgSe3
_chemical_formula_sum 'Ho4 Mg4 Se12'
_symmetry_space_group_name_H-M 'C 1 2/m 1'
_symmetry_Int_Tables_number 12
_cell_length_a 8.3878
_cell_length_b 11.9047
_cell_length_c 6.5992
_cell_angle_alpha 90.00
_cell_angle_beta 121.51
_cell_angle_gamma 90.00
loop_
_symmetry_equiv_pos_as_xyz
'x,y,z'
'-x,-y,-z'
'-x,y,-z'
'x,-y,z'
'x+1/2,y+1/2,z'
'-x+1/2,-y+1/2,-z'
'-x+1/2,y+1/2,-z'
'x+1/2,-y+1/2,z'
loop_
_atom_site_label
_atom_site_type_symbol
_atom_site_fract_x
_atom_site_fract_y
_atom_site_fract_z
_atom_site_occupancy
Ho1 Ho 0.2264 0.0000 0.2117 1
Mg1 Mg 0.0000 0.3313 0.0000 1
Se1 Se 0.0373 0.1531 0.7897 1
Se2 Se 0.0885 0.5000 0.2973 1

---

# Ho2MgSe (PBE-GGA, relaxed)
# Magnetization (Bohr magnetons per cell): 0.002
# Raw formation energy (meV per atom): -766
data_Ho2MgSe
_chemical_formula_sum 'Ho6 Mg3 Se3'
_symmetry_space_group_name_H-M 'R 3 m'
_symmetry_Int_Tables_number 160
_symmetry_space_group_name_Hall 'R 3 -2"'
_cell_length_a 3.8080
_cell_length_b 3.8080
_cell_length_c 26.1381
_cell_angle_alpha 90.00
_cell_angle_beta 90.00
_cell_angle_gamma 120.00
loop_
_atom_site_label
_atom_site_type_symbol
_atom_site_fract_x
_atom_site_fract_y
_atom_site_fract_z
_atom_site_occupancy
Ho1 Ho 0.0000 0.0000 0.0000 1
Ho2 Ho 0.0000 0.0000 0.1971 1
Mg1 Mg 0.0000 0.0000 0.7654 1
Se1 Se 0.0000 0.0000 0.5979 1

---

# Ho4MgSe5 (PBE-GGA, relaxed)
# Magnetization (Bohr magnetons per cell): 0.000
# Raw formation energy (meV per atom): -1611
data_Ho4MgSe5
_chemical_formula_sum 'Ho12 Mg3 Se15'
_symmetry_space_group_name_H-M 'R -3 m'
_symmetry_Int_Tables_number 166
_symmetry_space_group_name_Hall '-R 3 2"'
_cell_length_a 4.0035
_cell_length_b 4.0035
_cell_length_c 50.2172
_cell_angle_alpha 90.00
_cell_angle_beta 90.00
_cell_angle_gamma 120.00
loop_
_atom_site_label
_atom_site_type_symbol
_atom_site_fract_x
_atom_site_fract_y
_atom_site_fract_z
_atom_site_occupancy
Ho1 Ho 0.0000 0.0000 0.0986 1
Ho2 Ho 0.0000 0.0000 0.2983 1
Mg1 Mg 0.0000 0.0000 0.5000 1
Se1 Se 0.0000 0.0000 0.0000 1
Se2 Se 0.0000 0.0000 0.1978 1
Se3 Se 0.0000 0.0000 0.4005 1

---

# HoMgSe2 (PBE-GGA, relaxed)
# Magnetization (Bohr magnetons per cell): 2.403
# Raw formation energy (meV per atom): -1428
data_HoMgSe2
_chemical_formula_sum 'Ho3 Mg3 Se6'
_symmetry_space_group_name_H-M 'R 3 m'
_symmetry_Int_Tables_number 160
_symmetry_space_group_name_Hall 'R 3 -2"'
_cell_length_a 3.8868
_cell_length_b 3.8868
_cell_length_c 20.7334
_cell_angle_alpha 90.00
_cell_angle_beta 90.00
_cell_angle_gamma 120.00
loop_
_atom_site_label
_atom_site_type_symbol
_atom_site_fract_x
_atom_site_fract_y
_atom_site_fract_z
_atom_site_occupancy
Ho1 Ho 0.0000 0.0000 0.0000 1
Mg1 Mg 0.0000 0.0000 0.8326 1
Se1 Se 0.0000 0.0000 0.2441 1
Se2 Se 0.0000 0.0000 0.4246 1

---

# Ho4MgSe5 (PBE-GGA, relaxed)
# Magnetization (Bohr magnetons per cell): 0.000
# Raw formation energy (meV per atom): -1593
data_Ho4MgSe5
_chemical_formula_sum 'Ho8 Mg2 Se10'
_symmetry_space_group_name_H-M 'I 4/m'
_symmetry_Int_Tables_number 87
_symmetry_space_group_name_Hall '-I 4'
_cell_length_a 9.0226
_cell_length_b 9.0226
_cell_length_c 5.6981
_cell_angle_alpha 90.00
_cell_angle_beta 90.00
_cell_angle_gamma 90.00
loop_
_atom_site_label
_atom_site_type_symbol
_atom_site_fract_x
_atom_site_fract_y
_atom_site_fract_z
_atom_site_occupancy
Ho1 Ho 0.0947 0.6922 0.0000 1
Mg1 Mg 0.0000 0.0000 0.5000 1
Se1 Se 0.0000 0.0000 0.0000 1
Se2 Se 0.0988 0.7161 0.5000 1

---

# HoMgSe2 (PBE-GGA, relaxed)
# Magnetization (Bohr magnetons per cell): 0.000
# Raw formation energy (meV per atom): -1409
data_HoMgSe2
_chemical_formula_sum 'Ho3 Mg3 Se6'
_symmetry_space_group_name_H-M 'R -3 m'
_symmetry_Int_Tables_number 166
_symmetry_space_group_name_Hall '-R 3 2"'
_cell_length_a 3.8836
_cell_length_b 3.8836
_cell_length_c 20.5938
_cell_angle_alpha 90.00
_cell_angle_beta 90.00
_cell_angle_gamma 120.00
loop_
_atom_site_label
_atom_site_type_symbol
_atom_site_fract_x
_atom_site_fract_y
_atom_site_fract_z
_atom_site_occupancy
Ho1 Ho 0.0000 0.0000 0.0000 1
Mg1 Mg 0.0000 0.0000 0.5000 1
Se1 Se 0.0000 0.0000 0.2441 1

---

# Ho6MgSe8 (PBE-GGA, relaxed)
# Magnetization (Bohr magnetons per cell): 0.000
# Raw formation energy (meV per atom): -1739
data_Ho6MgSe8
_chemical_formula_sum 'Ho24 Mg4 Se32'
_symmetry_space_group_name_H-M 'F m -3 m'
_symmetry_Int_Tables_number 225
_symmetry_space_group_name_Hall '-F 4 2 3'
_cell_length_a 11.4220
_cell_length_b 11.4220
_cell_length_c 11.4220
_cell_angle_alpha 90.00
_cell_angle_beta 90.00
_cell_angle_gamma 90.00
loop_
_atom_site_label
_atom_site_type_symbol
_atom_site_fract_x
_atom_site_fract_y
_atom_site_fract_z
_atom_site_occupancy
Ho1 Ho 0.0000 0.2500 0.2500 1
Mg1 Mg 0.0000 0.0000 0.0000 1
Se1 Se 0.0000 0.0000 0.2444 1
Se2 Se 0.2500 0.2500 0.2500 1

---

# Tb3Ho3MgSe8 (PBE-GGA, relaxed)
# Magnetization (Bohr magnetons per cell): 0.000
# Raw formation energy (meV per atom): -1754
data_Tb3Ho3MgSe8
_chemical_formula_sum 'Tb9 Ho9 Mg3 Se24'
_symmetry_space_group_name_H-M 'R -3 m'
_symmetry_Int_Tables_number 166
_symmetry_space_group_name_Hall '-R 3 2"'
_cell_length_a 8.1067
_cell_length_b 8.1067
_cell_length_c 19.9224
_cell_angle_alpha 90.00
_cell_angle_beta 90.00
_cell_angle_gamma 120.00
loop_
_atom_site_label
_atom_site_type_symbol
_atom_site_fract_x
_atom_site_fract_y
_atom_site_fract_z
_atom_site_occupancy
Tb1 Tb 0.0000 0.5000 0.0000 1
Ho1 Ho 0.0000 0.5000 0.5000 1
Mg1 Mg 0.0000 0.0000 0.5000 1
Se1 Se 0.0000 0.0000 0.2488 1
Se2 Se 0.0069 0.5035 0.2471 1

---

# TbHo4MgSe8 (PBE-GGA, relaxed)
# Magnetization (Bohr magnetons per cell): 0.000
# Raw formation energy (meV per atom): -1714
data_TbHo4MgSe8
_chemical_formula_sum 'Tb3 Ho12 Mg3 Se24'
_symmetry_space_group_name_H-M 'R 3 m'
_symmetry_Int_Tables_number 160
_symmetry_space_group_name_Hall 'R 3 -2"'
_cell_length_a 8.3200
_cell_length_b 8.3200
_cell_length_c 20.3975
_cell_angle_alpha 90.00
_cell_angle_beta 90.00
_cell_angle_gamma 120.00
loop_
_atom_site_label
_atom_site_type_symbol
_atom_site_fract_x
_atom_site_fract_y
_atom_site_fract_z
_atom_site_occupancy
Tb1 Tb 0.0000 0.0000 0.0000 1
Ho1 Ho 0.0000 0.0000 0.6221 1
Ho2 Ho 0.1710 0.3421 0.8291 1
Mg1 Mg 0.0000 0.0000 0.3720 1
Se1 Se 0.0000 0.0000 0.2430 1
Se2 Se 0.0000 0.0000 0.7554 1
Se3 Se 0.0093 0.5046 0.7488 1
Se4 Se 0.1770 0.3539 0.5767 1

---

# Ho2MgTl3Se6 (PBE-GGA, relaxed)
# Magnetization (Bohr magnetons per cell): 0.000
# Raw formation energy (meV per atom): -1138
data_Ho2MgTl3Se6
_chemical_formula_sum 'Ho4 Mg2 Tl6 Se12'
_symmetry_space_group_name_H-M 'C 1 2/m 1'
_symmetry_Int_Tables_number 12
_cell_length_a 7.1790
_cell_length_b 12.4430
_cell_length_c 7.8686
_cell_angle_alpha 90.00
_cell_angle_beta 107.73
_cell_angle_gamma 90.00
loop_
_symmetry_equiv_pos_as_xyz
'x,y,z'
'-x,-y,-z'
'-x,y,-z'
'x,-y,z'
'x+1/2,y+1/2,z'
'-x+1/2,-y+1/2,-z'
'-x+1/2,y+1/2,-z'
'x+1/2,-y+1/2,z'
loop_
_atom_site_label
_atom_site_type_symbol
_atom_site_fract_x
_atom_site_fract_y
_atom_site_fract_z
_atom_site_occupancy
Ho1 Ho 0.0000 0.1663 0.0000 1
Mg1 Mg 0.0000 0.5000 0.0000 1
Tl1 Tl 0.0000 0.0000 0.5000 1
Tl2 Tl 0.0000 0.3314 0.5000 1
Se1 Se 0.2319 0.3361 0.2046 1
Se2 Se 0.2410 0.0000 0.2057 1